Record 1
FeCoSbIr: optimized geometry, PBE.

## Properties
Uncorrected energy ... -0.2555 hartree per atom
Distance to the lowest polymorph of the same formula ... 0 meV/atom

a b c (Å): 6.164 6.164 6.164
angles (deg): 90.00 90.00 90.00
Space group F-43m (No. 216)
Unique sites:
1 Fe 0.000 0.000 0.000 (multiplicity 4)
2 Co 0.250 0.250 0.750 (multiplicity 4)
3 Sb 0.000 0.000 0.500 (multiplicity 4)
4 Ir 0.250 0.250 0.250 (multiplicity 4)

Record 2
Ho2ErScIn2: optimized geometry, PBE.

## Properties
Uncorrected energy ... -0.1693 hartree per atom

a b c (Å): 5.2491 5.2491 6.5972
angles (deg): 90.00 90.00 120.00
Space group P-6m2 (No. 187)
Unique sites:
1 Ho 0.0000 0.0000 0.2435 (multiplicity 2)
2 Er 0.3333 0.6667 0.5000 (multiplicity 1)
3 Sc 0.6667 0.3333 0.0000 (multiplicity 1)
4 In 0.3333 0.6667 0.0000 (multiplicity 1)
5 In 0.6667 0.3333 0.5000 (multiplicity 1)

Record 3
Dy2TmNiSn3Ir2: optimized geometry, PBE.

## Properties
Uncorrected energy ... -0.2293 hartree per atom

a b c (Å): 3.746 13.095 7.573
angles (deg): 90.00 90.00 90.00
Space group Amm2 (No. 38)
Unique sites:
1 Dy 0.000 0.203 0.000 (multiplicity 4)
2 Tm 0.000 0.000 0.390 (multiplicity 2)
3 Ni 0.000 0.000 0.795 (multiplicity 2)
4 Sn 0.500 0.000 0.053 (multiplicity 2)
5 Sn 0.500 0.128 0.668 (multiplicity 4)
6 Ir 0.500 0.165 0.297 (multiplicity 4)

Record 4
HoTlTe3As: optimized geometry, PBE.

## Properties
Uncorrected energy ... -0.1470 hartree per atom

a b c (Å): 4.359 15.698 11.310
angles (deg): 90.00 90.00 90.00
Space group Cmcm (No. 63)
Unique sites:
1 Ho 0.000 0.000 0.000 (multiplicity 4)
2 Tl 0.000 0.240 0.250 (multiplicity 4)
3 Te 0.000 0.092 0.750 (multiplicity 4)
4 Te 0.000 0.362 0.541 (multiplicity 8)
5 As 0.000 0.452 0.750 (multiplicity 4)

Record 5
OsCO: optimized geometry, PBE.

## Properties
Uncorrected energy ... -0.3104 hartree per atom

a b c (Å): 2.716 2.716 19.520
angles (deg): 90.00 90.00 90.00
Space group I4/mmm (No. 139)
Unique sites:
1 Os 0.000 0.000 0.202 (multiplicity 4)
2 C 0.000 0.000 0.365 (multiplicity 4)
3 O 0.000 0.000 0.426 (multiplicity 4)

Record 6
HfZrI6: optimized geometry, PBE.

## Properties
Uncorrected energy ... -0.1609 hartree per atom

a b c (Å): 7.6796 7.6796 6.5455
angles (deg): 90.00 90.00 120.00
Space group P-31m (No. 162)
Unique sites:
1 Hf 0.0000 0.0000 0.0000 (multiplicity 1)
2 Zr 0.0000 0.0000 0.5000 (multiplicity 1)
3 I 0.0000 0.3144 0.2457 (multiplicity 6)

Repeat the second record exactly.
Ho2ErScIn2: optimized geometry, PBE.

## Properties
Uncorrected energy ... -0.1693 hartree per atom

a b c (Å): 5.2491 5.2491 6.5972
angles (deg): 90.00 90.00 120.00
Space group P-6m2 (No. 187)
Unique sites:
1 Ho 0.0000 0.0000 0.2435 (multiplicity 2)
2 Er 0.3333 0.6667 0.5000 (multiplicity 1)
3 Sc 0.6667 0.3333 0.0000 (multiplicity 1)
4 In 0.3333 0.6667 0.0000 (multiplicity 1)
5 In 0.6667 0.3333 0.5000 (multiplicity 1)

Question: What is the formula in the fifth record?
Answer: OsCO

Repeat the fifth record exactly.
OsCO: optimized geometry, PBE.

## Properties
Uncorrected energy ... -0.3104 hartree per atom

a b c (Å): 2.716 2.716 19.520
angles (deg): 90.00 90.00 90.00
Space group I4/mmm (No. 139)
Unique sites:
1 Os 0.000 0.000 0.202 (multiplicity 4)
2 C 0.000 0.000 0.365 (multiplicity 4)
3 O 0.000 0.000 0.426 (multiplicity 4)